one | Computed, not measured: an optimized crystal structure of MgBeCu2 at the PBE level of DFT.

**Size of the total moment**: 0.00 μB/f.u.
**Space group**: No. 65
**Fermi-level density of states**: 0.25 states/eV/atom

abc: 4.046 4.046 3.083
angles: 90.00 90.00 90.21
Atoms (fractional coordinates):
Mg 0.000 0.000 0.000
Be 0.500 0.500 0.000
Cu 0.000 0.500 0.500
Cu 0.500 0.000 0.500



two | Computed, not measured: an optimized crystal structure of MgBeCu2 at the PBE level of DFT.

**Size of the total moment**: 0.00 μB/f.u.
**Space group**: No. 71
**Fermi-level density of states**: 0.34 states/eV/atom

abc: 4.734 4.734 4.734
angles: 142.70 126.88 66.70
Atoms (fractional coordinates):
Mg 0.000 0.000 0.000
Be 0.500 0.500 0.000
Cu 0.281 0.781 0.500
Cu 0.719 0.219 0.500



three | Computed, not measured: an optimized crystal structure of MgBeCu2 at the PBE level of DFT.

**Size of the total moment**: 0.00 μB/f.u.
**Space group**: No. 122
**Fermi-level density of states**: 0.38 states/eV/atom

abc: 8.949 8.949 8.949
angles: 156.58 156.58 33.36
Atoms (fractional coordinates):
Mg 0.000 0.000 0.000
Mg 0.750 0.250 0.500
Be 0.250 0.750 0.500
Be 0.500 0.500 0.000
Cu 0.159 0.625 0.034
Cu 0.375 0.409 0.534
Cu 0.591 0.125 0.966
Cu 0.875 0.841 0.466



The data favor two; the next most stable structure lies 20 meV/atom above it.



one | Computed, not measured: an optimized crystal structure of MgBeCu2 at the PBE level of DFT.

**Size of the total moment**: 0.00 μB/f.u.
**Space group**: No. 166
**Fermi-level density of states**: 0.33 states/eV/atom

abc: 8.361 8.361 8.361
angles: 18.54 18.54 18.54
Atoms (fractional coordinates):
Mg 0.000 0.000 0.000
Be 0.500 0.500 0.500
Cu 0.240 0.240 0.240
Cu 0.760 0.760 0.760



two | Computed, not measured: an optimized crystal structure of MgBeCu2 at the PBE level of DFT.

**Size of the total moment**: 0.00 μB/f.u.
**Space group**: No. 119
**Fermi-level density of states**: 0.13 states/eV/atom

abc: 4.631 4.631 4.631
angles: 134.13 134.13 66.89
Atoms (fractional coordinates):
Mg 0.000 0.000 0.000
Be 0.250 0.750 0.500
Cu 0.500 0.500 0.000
Cu 0.750 0.250 0.500



three | Computed, not measured: an optimized crystal structure of MgBeCu2 at the PBE level of DFT.

**Size of the total moment**: 0.00 μB/f.u.
**Space group**: No. 216
**Fermi-level density of states**: 0.53 states/eV/atom

abc: 4.151 4.151 4.151
angles: 60.00 60.00 60.00
Atoms (fractional coordinates):
Mg 0.000 0.000 0.000
Be 0.750 0.750 0.750
Cu 0.250 0.250 0.250
Cu 0.500 0.500 0.500



four | Computed, not measured: an optimized crystal structure of MgBeCu2 at the PBE level of DFT.

**Size of the total moment**: 0.00 μB/f.u.
**Space group**: No. 225
**Fermi-level density of states**: 0.29 states/eV/atom

abc: 4.139 4.139 4.139
angles: 60.00 60.00 60.00
Atoms (fractional coordinates):
Mg 0.000 0.000 0.000
Be 0.500 0.500 0.500
Cu 0.250 0.250 0.250
Cu 0.750 0.750 0.750



The data favor four; the next most stable structure lies 15 meV/atom above it.



one | Computed, not measured: an optimized crystal structure of MgBeCu2 at the PBE level of DFT.

**Size of the total moment**: 0.00 μB/f.u.
**Space group**: No. 47
**Fermi-level density of states**: 0.25 states/eV/atom

abc: 2.772 2.847 6.366
angles: 90.00 90.00 90.00
Atoms (fractional coordinates):
Mg 0.000 0.000 0.000
Be 0.000 0.000 0.500
Cu 0.500 0.500 0.301
Cu 0.500 0.500 0.699



two | Computed, not measured: an optimized crystal structure of MgBeCu2 at the PBE level of DFT.

**Size of the total moment**: 0.00 μB/f.u.
**Space group**: No. 99
**Fermi-level density of states**: 0.24 states/eV/atom

abc: 2.947 2.947 5.937
angles: 90.00 90.00 90.00
Atoms (fractional coordinates):
Mg 0.000 0.000 0.000
Be 0.500 0.500 0.304
Cu 0.000 0.000 0.464
Cu 0.500 0.500 0.709



three | Computed, not measured: an optimized crystal structure of MgBeCu2 at the PBE level of DFT.

**Size of the total moment**: 0.00 μB/f.u.
**Space group**: No. 6
**Fermi-level density of states**: 0.21 states/eV/atom

abc: 2.722 3.976 4.982
angles: 90.00 105.22 90.00
Atoms (fractional coordinates):
Mg 0.000 0.000 0.000
Be 0.635 0.500 0.268
Cu 0.335 0.500 0.686
Cu 0.725 0.000 0.473



The data favor one; the next most stable structure lies 82 meV/atom above it.